The following is a PBE calculation of PuBN after structural relaxation, from the Alexandria database.

Summary:
DOS(E_F): 3.91 states/eV per cell
Calculated volume: 16.4 A^3/atom
Energy: -10.19 eV per atom
Distance to the lowest polymorph of the same formula: 0.6255 eV/atom
SG: No. 187
Total magnetic moment: 0.562 μB/atom
Uncorrected formation energy: -1.24 eV per formula unit

a = 8.8091 Å, b = 2.5359 Å, c = 2.5359 Å
α = 120.00°, β = 90.00°, γ = 90.00°
Each line ends with the local moment (μB).
Sites, in units of the cell vectors:
B 0.1667 0.3333 0.6667  0.00
Pu 0.6667 0.6667 0.3333  1.80
N 0.1667 0.0000 0.0000  0.00


The following is a PBE calculation of NaZr4Br7 after structural relaxation, from the Alexandria database.

Summary:
DOS(E_F): 6.60 states/eV per cell
Calculated volume: 26.3 A^3/atom
Energy: -4.85 eV per atom
SG: No. 31
Total magnetic moment: 0.000 μB/atom
Uncorrected formation energy: -10.95 eV per formula unit

a = 5.3539 Å, b = 5.7080 Å, c = 20.6799 Å
α = 90.00°, β = 90.00°, γ = 90.00°
Sites, in units of the cell vectors:
Br 0.9853 0.2180 0.5000
Br 0.9961 0.3344 0.7735
Br 0.4945 0.1735 0.3898
Br 0.9945 0.8265 0.1102
Br 0.5023 0.2957 0.1194
Br 0.5023 0.2957 0.8806
Br 0.4961 0.6656 0.2735
Br 0.4945 0.1735 0.6102
Br 0.0023 0.7043 0.3806
Br 0.9961 0.3345 0.2265
Br 0.9945 0.8265 0.8898
Br 0.4853 0.7820 0.0000
Br 0.0023 0.7043 0.6194
Br 0.4961 0.6656 0.7265
Na 0.2035 0.2309 0.0000
Na 0.7035 0.7691 0.5000
Zr 0.9955 0.1883 0.3544
Zr 0.9946 0.8367 0.2432
Zr 0.9946 0.8367 0.7568
Zr 0.4955 0.8117 0.1456
Zr 0.4955 0.8117 0.8544
Zr 0.4946 0.1633 0.7432
Zr 0.9955 0.1883 0.6456
Zr 0.4946 0.1633 0.2568


The following is a PBE calculation of LiTaBr2 after structural relaxation, from the Alexandria database.

Summary:
DOS(E_F): 1.92 states/eV per cell
Calculated volume: 20.5 A^3/atom
Energy: -4.39 eV per atom
Distance to the lowest polymorph of the same formula: 0.1943 eV/atom
SG: No. 6
Total magnetic moment: 0.000 μB/atom
Uncorrected formation energy: -0.43 eV per formula unit

a = 5.2780 Å, b = 3.2966 Å, c = 4.9857 Å
α = 70.78°, β = 90.00°, γ = 90.00°
Sites, in units of the cell vectors:
Br 0.5000 0.1966 0.2337
Br 0.0000 0.8435 0.9383
Li 0.0000 0.5450 0.5334
Ta 0.5000 0.9149 0.7946


The following is a PBE calculation of Re2RuF2 after structural relaxation, from the Alexandria database.

Summary:
DOS(E_F): 4.64 states/eV per cell
Calculated volume: 12.9 A^3/atom
Energy: -7.06 eV per atom
SG: No. 139
Total magnetic moment: 0.000 μB/atom
Uncorrected formation energy: 2.64 eV per formula unit

a = 4.0555 Å, b = 4.0555 Å, c = 4.8587 Å
α = 65.33°, β = 65.33°, γ = 90.00°
Sites, in units of the cell vectors:
Re 0.7500 0.2500 0.5000
Re 0.2500 0.7500 0.5000
Ru 0.0000 0.0000 0.0000
F 0.3700 0.3700 0.2600
F 0.6300 0.6300 0.7400